[1]
The following is a DFT calculation (PBE) of a relaxed structure of Nd2DyYSc4.

Unit cell a=5.0016 b=5.0036 c=10.4555 alpha=61.41 beta=90.00 gamma=90.00
Last column: nearest neighbours and their distance in Å.
Fractional positions:
Nd 0.0000 0.0000 0.0000  8 Sc 3.40, 4 Y 3.54
Nd 0.5000 0.0000 0.5000  8 Sc 3.39, 4 Dy 3.54
Dy 0.0000 0.5000 0.5000  8 Sc 3.39, 4 Nd 3.54
Y 0.5000 0.5000 0.0000  8 Sc 3.40, 4 Nd 3.54
Sc 0.0000 0.7511 0.7490  4 Nd 3.39-3.40, 2 Dy 3.39, 2 Y 3.40, 4 Sc 3.54
Sc 0.0000 0.2489 0.2510  4 Nd 3.39-3.40, 2 Dy 3.39, 2 Y 3.40, 4 Sc 3.54
Sc 0.5000 0.7489 0.2510  2 Dy 3.39, 4 Nd 3.39-3.40, 2 Y 3.40, 4 Sc 3.54
Sc 0.5000 0.2511 0.7490  2 Dy 3.39, 4 Nd 3.39-3.40, 2 Y 3.40, 4 Sc 3.54

## Properties
V: 28.7 Å³/atom
Density of states at the Fermi level: 12.8 states/eV/cell



[2]
The following is a DFT calculation (PBE) of a relaxed structure of Nd6DyYSc2.

Unit cell a=9.5775 b=8.8308 c=8.8308 alpha=118.07 beta=94.21 gamma=94.21
Last column: nearest neighbours and their distance in Å.
Fractional positions:
Nd 0.0515 0.1116 0.7623  1 Sc 3.40, 6 Nd 3.40-3.77, 2 Y 3.61-3.75
Nd 0.4485 0.2377 0.8884  1 Sc 3.40, 6 Nd 3.40-3.77, 2 Y 3.61-3.75
Nd 0.9485 0.8884 0.2377  1 Sc 3.40, 6 Nd 3.40-3.77, 2 Y 3.61-3.75
Nd 0.5515 0.7623 0.1116  1 Sc 3.40, 6 Nd 3.40-3.77, 2 Y 3.61-3.75
Nd 0.3154 0.9885 0.4399  4 Nd 3.30-3.67, 1 Dy 3.43, 2 Sc 3.45-3.64, 1 Y 3.58
Nd 0.1846 0.5601 0.0115  4 Nd 3.30-3.67, 1 Dy 3.43, 2 Sc 3.45-3.64, 1 Y 3.58
Nd 0.6846 0.0115 0.5601  4 Nd 3.30-3.67, 1 Dy 3.43, 2 Sc 3.45-3.64, 1 Y 3.58
Nd 0.8154 0.4399 0.9885  4 Nd 3.30-3.67, 1 Dy 3.43, 2 Sc 3.45-3.64, 1 Y 3.58
Nd 0.1183 0.7017 0.4968  3 Sc 3.23-3.40, 3 Nd 3.30-3.40, 2 Dy 3.36-3.52
Nd 0.3817 0.5032 0.2983  3 Sc 3.23-3.40, 3 Nd 3.30-3.40, 2 Dy 3.36-3.52
Nd 0.8817 0.2983 0.5032  3 Sc 3.23-3.40, 3 Nd 3.30-3.40, 2 Dy 3.36-3.52
Nd 0.6183 0.4968 0.7017  3 Sc 3.23-3.40, 3 Nd 3.30-3.40, 2 Dy 3.36-3.52
Dy 0.2500 0.4090 0.5910  6 Nd 3.36-3.52, 2 Sc 3.51
Dy 0.7500 0.5910 0.4090  6 Nd 3.36-3.52, 2 Sc 3.51
Y 0.2500 0.9722 0.0278  4 Sc 3.38, 6 Nd 3.58-3.75
Y 0.7500 0.0278 0.9722  4 Sc 3.38, 6 Nd 3.58-3.75
Sc 0.4525 0.8027 0.7026  5 Nd 3.23-3.45, 2 Y 3.38, 1 Dy 3.51
Sc 0.0475 0.2974 0.1973  5 Nd 3.23-3.45, 2 Y 3.38, 1 Dy 3.51
Sc 0.5475 0.1973 0.2974  5 Nd 3.23-3.45, 2 Y 3.38, 1 Dy 3.51
Sc 0.9525 0.7026 0.8027  5 Nd 3.23-3.45, 2 Y 3.38, 1 Dy 3.51

## Properties
V: 32.6 Å³/atom
Density of states at the Fermi level: 31.6 states/eV/cell



[3]
The following is a DFT calculation (PBE) of a relaxed structure of NdDy2Y6Sc3.

Unit cell a=6.0831 b=6.0831 c=11.5426 alpha=95.04 beta=95.04 gamma=119.98
Last column: nearest neighbours and their distance in Å.
Fractional positions:
Nd 0.0000 0.0000 0.0000  6 Dy 3.51, 6 Y 3.59
Dy 0.3334 0.6666 0.0000  3 Dy 3.51, 3 Nd 3.51, 6 Y 3.58
Dy 0.6666 0.3334 0.0000  3 Dy 3.51, 3 Nd 3.51, 6 Y 3.58
Y 0.9132 0.5795 0.7399  3 Sc 3.40, 6 Y 3.51-3.52, 2 Dy 3.58, 1 Nd 3.59
Y 0.7530 0.7530 0.2601  3 Sc 3.40, 6 Y 3.51-3.52, 2 Dy 3.58, 1 Nd 3.59
Y 0.0868 0.4205 0.2601  3 Sc 3.40, 6 Y 3.51-3.52, 2 Dy 3.58, 1 Nd 3.59
Y 0.5795 0.9132 0.7399  3 Sc 3.40, 6 Y 3.51-3.52, 2 Dy 3.58, 1 Nd 3.59
Y 0.2470 0.2470 0.7399  3 Sc 3.40, 6 Y 3.51-3.52, 2 Dy 3.58, 1 Nd 3.59
Y 0.4205 0.0868 0.2601  3 Sc 3.40, 6 Y 3.51-3.52, 2 Dy 3.58, 1 Nd 3.59
Sc 0.1669 0.8331 0.5000  6 Y 3.40, 6 Sc 3.51-3.52
Sc 0.8331 0.1669 0.5000  6 Y 3.40, 6 Sc 3.51-3.52
Sc 0.5000 0.5000 0.5000  6 Y 3.40, 6 Sc 3.51

## Properties
V: 30.4 Å³/atom
Density of states at the Fermi level: 19.0 states/eV/cell



[4]
The following is a DFT calculation (PBE) of a relaxed structure of Nd3Dy6Y2Sc.

Unit cell a=6.1714 b=6.1714 c=11.7839 alpha=95.00 beta=95.00 gamma=119.98
Last column: nearest neighbours and their distance in Å.
Fractional positions:
Nd 0.1666 0.8334 0.5000  6 Nd 3.56, 6 Dy 3.60-3.62
Nd 0.8334 0.1666 0.5000  6 Nd 3.56, 6 Dy 3.60-3.62
Nd 0.5000 0.5000 0.5000  6 Nd 3.56, 6 Dy 3.61-3.62
Dy 0.9191 0.5890 0.7557  1 Sc 3.49, 2 Y 3.51, 6 Dy 3.53-3.58, 3 Nd 3.60-3.62
Dy 0.7509 0.7509 0.2446  1 Sc 3.49, 2 Y 3.51, 6 Dy 3.53-3.58, 3 Nd 3.60-3.62
Dy 0.0809 0.4110 0.2443  1 Sc 3.49, 2 Y 3.51, 6 Dy 3.53-3.58, 3 Nd 3.60-3.62
Dy 0.5890 0.9191 0.7557  1 Sc 3.49, 2 Y 3.51, 6 Dy 3.53-3.58, 3 Nd 3.60-3.62
Dy 0.2491 0.2491 0.7554  1 Sc 3.49, 2 Y 3.51, 6 Dy 3.53-3.58, 3 Nd 3.60-3.62
Dy 0.4110 0.0809 0.2443  1 Sc 3.49, 2 Y 3.51, 6 Dy 3.53-3.58, 3 Nd 3.60-3.62
Y 0.3335 0.6665 0.0000  6 Dy 3.51, 3 Y 3.56-3.57, 3 Sc 3.56
Y 0.6665 0.3335 0.0000  6 Dy 3.51, 3 Y 3.56-3.57, 3 Sc 3.56
Sc 0.0000 0.0000 0.0000  6 Dy 3.49, 6 Y 3.56

## Properties
V: 31.9 Å³/atom
Density of states at the Fermi level: 17.0 states/eV/cell



Number 1: calculated formation energy 0.0544 eV per atom. Number 2: calculated formation energy 0.1220 eV per atom. Number 3: calculated formation energy 0.0517 eV per atom. Number 4: calculated formation energy 0.0297 eV per atom.